## A
Here is a relaxed RbLaAl2 crystal from Alexandria via LeMat-Bulk. Energies are from PBE.

Computed properties:
As for the space group: No. 225.

Cell: 5.615 5.615 5.615 Å, 60.00 60.00 60.00°
Atoms (fractional coordinates):
La 0.500 0.500 0.500
Al 0.250 0.250 0.250
Al 0.750 0.750 0.750
Rb 0.000 0.000 0.000

## B
Here is a relaxed RbLaAl2 crystal from Alexandria via LeMat-Bulk. Energies are from PBE.

Computed properties:
As for the space group: No. 122.

Cell: 9.021 9.021 7.198 Å, 51.20 51.20 90.00°
Atoms (fractional coordinates):
Al 0.654 0.125 0.250
Al 0.875 0.904 0.750
Al 0.096 0.625 0.250
Al 0.375 0.346 0.750
Rb 0.250 0.750 0.500
Rb 0.500 0.500 0.000
La 0.750 0.250 0.500
La 0.000 0.000 0.000

Quick one: most stable of them? A

## A
Here is a relaxed LaAl4Re crystal from Alexandria via LeMat-Bulk. Energies are from PBE.

Computed properties:
As for the space group: No. 51.

Cell: 4.250 7.130 7.875 Å, 90.00 90.00 90.00°
Atoms (fractional coordinates):
Al 0.500 0.970 0.750
Al 0.500 0.030 0.250
Al 0.500 0.694 0.430
Al 0.000 0.000 0.500
Al 0.500 0.306 0.570
Al 0.000 0.000 0.000
Al 0.500 0.694 0.070
Al 0.500 0.306 0.930
La 0.000 0.633 0.750
La 0.000 0.367 0.250
Re 0.000 0.202 0.750
Re 0.000 0.798 0.250

## B
Here is a relaxed LaAl4Re crystal from Alexandria via LeMat-Bulk. Energies are from PBE.

Computed properties:
As for the space group: No. 216.

Cell: 5.368 5.368 5.368 Å, 60.00 60.00 60.00°
Atoms (fractional coordinates):
La 0.750 0.750 0.750
Al 0.879 0.374 0.374
Al 0.374 0.374 0.374
Al 0.374 0.374 0.879
Al 0.374 0.879 0.374
Re 0.000 0.000 0.000

Quick one: most stable of them? A

## A
Here is a relaxed La4AlRh crystal from Alexandria via LeMat-Bulk. Energies are from PBE.

Computed properties:
As for the space group: No. 216.

Cell: 6.264 6.264 6.264 Å, 60.00 60.00 60.00°
Atoms (fractional coordinates):
La 0.375 0.375 0.375
La 0.375 0.874 0.375
La 0.874 0.375 0.375
La 0.375 0.375 0.874
Rh 0.750 0.750 0.750
Al 0.000 0.000 0.000

## B
Here is a relaxed La4AlRh crystal from Alexandria via LeMat-Bulk. Energies are from PBE.

Computed properties:
As for the space group: No. 216.

Cell: 9.986 9.986 9.986 Å, 60.00 60.00 60.00°
Atoms (fractional coordinates):
Rh 0.610 0.171 0.610
Rh 0.610 0.610 0.610
Rh 0.171 0.610 0.610
Rh 0.610 0.610 0.171
Al 0.470 0.177 0.177
Al 0.177 0.470 0.177
Al 0.177 0.177 0.470
Al 0.177 0.177 0.177
La 0.400 0.800 0.400
La 0.948 0.552 0.948
La 0.400 0.400 0.800
La 0.814 0.814 0.186
La 0.552 0.552 0.948
La 0.552 0.948 0.552
La 0.814 0.186 0.186
La 0.800 0.400 0.400
La 0.948 0.948 0.552
La 0.400 0.400 0.400
La 0.186 0.814 0.814
La 0.814 0.186 0.814
La 0.186 0.186 0.814
La 0.186 0.814 0.186
La 0.552 0.948 0.948
La 0.948 0.552 0.552

## C
Here is a relaxed La4AlRh crystal from Alexandria via LeMat-Bulk. Energies are from PBE.

Computed properties:
As for the space group: No. 15.

Cell: 7.183 7.637 8.801 Å, 110.97 109.11 100.73°
Atoms (fractional coordinates):
La 0.043 0.789 0.053
La 0.777 0.599 0.549
La 0.510 0.264 0.053
La 0.490 0.736 0.947
La 0.957 0.211 0.947
La 0.728 0.050 0.451
La 0.223 0.401 0.451
La 0.272 0.950 0.549
Al 0.374 0.624 0.248
Al 0.626 0.376 0.752
Rh 0.848 0.098 0.196
Rh 0.152 0.902 0.804

Quick one: most stable of them? B

## A
Here is a relaxed LaAl3Ru crystal from Alexandria via LeMat-Bulk. Energies are from PBE.

Computed properties:
As for the space group: No. 221.

Cell: 4.723 4.723 4.723 Å, 90.00 90.00 90.00°
Atoms (fractional coordinates):
Al 0.500 0.000 0.000
Al 0.000 0.000 0.500
Al 0.000 0.500 0.000
La 0.500 0.500 0.500
Ru 0.000 0.000 0.000

## B
Here is a relaxed LaAl3Ru crystal from Alexandria via LeMat-Bulk. Energies are from PBE.

Computed properties:
As for the space group: No. 221.

Cell: 5.333 5.333 5.333 Å, 90.00 90.00 90.00°
Atoms (fractional coordinates):
Al 0.500 0.000 0.000
Al 0.000 0.500 0.000
Al 0.000 0.000 0.500
La 0.000 0.000 0.000
Ru 0.500 0.500 0.500

## C
Here is a relaxed LaAl3Ru crystal from Alexandria via LeMat-Bulk. Energies are from PBE.

Computed properties:
As for the space group: No. 194.

Cell: 6.502 6.502 11.219 Å, 90.00 90.00 120.00°
Atoms (fractional coordinates):
Ru 0.667 0.333 0.125
Ru 0.333 0.667 0.875
Ru 0.667 0.333 0.375
Ru 0.333 0.667 0.625
Al 0.500 0.000 0.500
Al 0.145 0.855 0.750
Al 0.855 0.710 0.250
Al 0.500 0.500 0.000
Al 0.290 0.145 0.250
Al 0.855 0.145 0.250
Al 0.500 0.500 0.500
Al 0.145 0.290 0.750
Al 0.000 0.500 0.500
Al 0.710 0.855 0.750
Al 0.000 0.500 0.000
Al 0.500 0.000 0.000
La 0.000 0.000 0.000
La 0.000 0.000 0.500
La 0.333 0.667 0.250
La 0.667 0.333 0.750

Quick one: most stable of them? C

## A
Here is a relaxed LaAl2Ru2 crystal from Alexandria via LeMat-Bulk. Energies are from PBE.

Computed properties:
As for the space group: No. 127.

Cell: 7.492 7.492 3.070 Å, 90.00 90.00 90.00°
Atoms (fractional coordinates):
Ru 0.844 0.656 0.000
Ru 0.344 0.844 0.000
Ru 0.656 0.156 0.000
Ru 0.156 0.344 0.000
Al 0.368 0.132 0.500
Al 0.868 0.368 0.500
Al 0.132 0.632 0.500
Al 0.632 0.868 0.500
La 0.500 0.500 0.000
La 0.000 0.000 0.000

## B
Here is a relaxed LaAl2Ru2 crystal from Alexandria via LeMat-Bulk. Energies are from PBE.

Computed properties:
As for the space group: No. 139.

Cell: 4.152 4.152 11.393 Å, 100.50 100.50 90.00°
Atoms (fractional coordinates):
Ru 0.250 0.750 0.500
Ru 0.932 0.932 0.864
Ru 0.068 0.068 0.136
Ru 0.750 0.250 0.500
Al 0.000 0.500 0.000
Al 0.813 0.813 0.627
Al 0.187 0.187 0.373
Al 0.500 0.000 0.000
La 0.372 0.372 0.744
La 0.628 0.628 0.256

Quick one: most stable of them? A

## A
Here is a relaxed La4AlRu crystal from Alexandria via LeMat-Bulk. Energies are from PBE.

Computed properties:
As for the space group: No. 15.

Cell: 7.197 7.651 8.707 Å, 111.00 109.10 101.31°
Atoms (fractional coordinates):
Al 0.372 0.622 0.245
Al 0.628 0.378 0.755
La 0.736 0.053 0.458
La 0.222 0.405 0.458
La 0.264 0.947 0.542
La 0.778 0.595 0.542
La 0.507 0.747 0.954
La 0.948 0.208 0.954
La 0.493 0.253 0.046
La 0.052 0.792 0.046
Ru 0.861 0.111 0.222
Ru 0.139 0.889 0.778

## B
Here is a relaxed La4AlRu crystal from Alexandria via LeMat-Bulk. Energies are from PBE.

Computed properties:
As for the space group: No. 15.

Cell: 6.369 7.972 7.972 Å, 111.43 99.72 99.72°
Atoms (fractional coordinates):
Ru 0.750 0.999 0.001
Ru 0.250 0.001 0.999
La 0.958 0.050 0.718
La 0.542 0.282 0.950
La 0.458 0.718 0.050
La 0.099 0.379 0.210
La 0.401 0.790 0.621
La 0.599 0.210 0.379
La 0.901 0.621 0.790
La 0.042 0.950 0.282
Al 0.250 0.379 0.621
Al 0.750 0.621 0.379

Quick one: most stable of them? B

## A
Here is a relaxed LaAl2S4 crystal from Alexandria via LeMat-Bulk. Energies are from PBE.

Computed properties:
As for the space group: No. 9.

Cell: 7.232 8.054 7.226 Å, 76.57 59.97 62.36°
Atoms (fractional coordinates):
S 0.562 0.753 0.831
S 0.066 0.748 0.331
S 0.604 0.350 0.236
S 0.147 0.248 0.169
S 0.189 0.649 0.766
S 0.589 0.850 0.264
S 0.705 0.149 0.734
S 0.143 0.253 0.669
Al 0.462 0.671 0.183
Al 0.311 0.328 0.818
Al 0.395 0.171 0.317
Al 0.878 0.828 0.682
La 0.974 0.001 0.001
La 0.726 0.501 0.499

## B
Here is a relaxed LaAl2S4 crystal from Alexandria via LeMat-Bulk. Energies are from PBE.

Computed properties:
As for the space group: No. 66.

Cell: 5.969 5.969 10.195 Å, 90.00 90.00 118.78°
Atoms (fractional coordinates):
Al 0.240 0.764 0.500
Al 0.236 0.760 0.000
Al 0.760 0.236 0.500
Al 0.764 0.240 0.000
S 0.500 0.000 0.669
S 0.500 0.000 0.331
S 0.817 0.650 0.500
S 0.650 0.817 0.000
S 0.183 0.350 0.500
S 0.350 0.183 0.000
S 0.000 0.500 0.169
S 0.000 0.500 0.831
La 0.500 0.500 0.750
La 0.500 0.500 0.250

Quick one: most stable of them? B

## A
Here is a relaxed LaAlS3 crystal from Alexandria via LeMat-Bulk. Energies are from PBE.

Computed properties:
As for the space group: No. 221.

Cell: 4.667 4.667 4.667 Å, 90.00 90.00 90.00°
Atoms (fractional coordinates):
S 0.500 0.000 0.000
S 0.000 0.500 0.000
S 0.000 0.000 0.500
La 0.500 0.500 0.500
Al 0.000 0.000 0.000

## B
Here is a relaxed LaAlS3 crystal from Alexandria via LeMat-Bulk. Energies are from PBE.

Computed properties:
As for the space group: No. 221.

Cell: 5.546 5.546 5.546 Å, 90.00 90.00 90.00°
Atoms (fractional coordinates):
S 0.500 0.000 0.000
S 0.000 0.500 0.000
S 0.000 0.000 0.500
La 0.000 0.000 0.000
Al 0.500 0.500 0.500

Quick one: most stable of them? A

## A
Here is a relaxed LaAlS3 crystal from Alexandria via LeMat-Bulk. Energies are from PBE.

Computed properties:
As for the space group: No. 14.

Cell: 7.322 9.063 8.167 Å, 118.07 90.00 90.00°
Atoms (fractional coordinates):
Al 0.873 0.320 0.906
Al 0.373 0.680 0.594
Al 0.627 0.320 0.406
Al 0.127 0.680 0.094
S 0.316 0.386 0.434
S 0.184 0.386 0.934
S 0.979 0.024 0.737
S 0.314 0.748 0.357
S 0.021 0.976 0.263
S 0.521 0.024 0.237
S 0.686 0.252 0.643
S 0.816 0.614 0.066
S 0.186 0.748 0.857
S 0.684 0.614 0.566
S 0.814 0.252 0.143
S 0.479 0.976 0.763
La 0.777 0.876 0.934
La 0.277 0.124 0.566
La 0.723 0.876 0.434
La 0.223 0.124 0.066

## B
Here is a relaxed LaAlS3 crystal from Alexandria via LeMat-Bulk. Energies are from PBE.

Computed properties:
As for the space group: No. 40.

Cell: 4.766 6.491 8.800 Å, 111.64 90.00 90.00°
Atoms (fractional coordinates):
S 0.250 0.522 0.882
S 0.750 0.898 0.804
S 0.750 0.640 0.118
S 0.250 0.656 0.399
S 0.250 0.094 0.196
S 0.750 0.257 0.601
Al 0.750 0.571 0.837
Al 0.250 0.734 0.163
La 0.750 0.346 0.305
La 0.250 0.041 0.695

Quick one: most stable of them? A

## A
Here is a relaxed LaAl3S crystal from Alexandria via LeMat-Bulk. Energies are from PBE.

Computed properties:
As for the space group: No. 221.

Cell: 5.839 5.839 5.839 Å, 90.00 90.00 90.00°
Atoms (fractional coordinates):
S 0.500 0.500 0.500
Al 0.500 0.000 0.000
Al 0.000 0.000 0.500
Al 0.000 0.500 0.000
La 0.000 0.000 0.000

## B
Here is a relaxed LaAl3S crystal from Alexandria via LeMat-Bulk. Energies are from PBE.

Computed properties:
As for the space group: No. 221.

Cell: 4.898 4.898 4.898 Å, 90.00 90.00 90.00°
Atoms (fractional coordinates):
Al 0.000 0.500 0.000
Al 0.500 0.000 0.000
Al 0.000 0.000 0.500
S 0.000 0.000 0.000
La 0.500 0.500 0.500

Quick one: most stable of them? B